Record 1
Computed, not measured: a PBEsol-optimized structure of Nb3CdH at the SCAN level of DFT.

a b c (Å): 4.1929 4.1929 4.1929
angles (deg): 90.00 90.00 90.00
Fractional positions:
1 Nb 0.0000 0.0000 0.5000
2 Nb 0.0000 0.5000 0.0000
3 Nb 0.5000 0.0000 0.0000
4 Cd 0.5000 0.5000 0.5000
5 H 0.0000 0.0000 0.0000

Calculated values
Total DFT energy (no corrections)   -133.5 eV for the cell shown

***

Record 2
Computed, not measured: a PBEsol-optimized structure of NiAg2Pt at the SCAN level of DFT.

a b c (Å): 9.0989 9.0989 9.0989
angles (deg): 17.37 17.37 17.37
Fractional positions:
1 Ni 0.0000 0.0000 0.0000
2 Ag 0.5025 0.5025 0.5025
3 Ag 0.7461 0.7461 0.7461
4 Pt 0.2579 0.2579 0.2579

Calculated values
Total DFT energy (no corrections)   -149.0 eV for the cell shown
ΔE_f   0.03 eV/atom

***

Record 3
Computed, not measured: a PBEsol-optimized structure of TiCuSe3 at the SCAN level of DFT.

a b c (Å): 4.8511 4.8511 4.8511
angles (deg): 90.00 90.00 90.00
Fractional positions:
1 Ti 0.0000 0.0000 0.0000
2 Cu 0.5000 0.5000 0.5000
3 Se 0.0000 0.0000 0.5000
4 Se 0.0000 0.5000 0.0000
5 Se 0.5000 0.0000 0.0000

Calculated values
Total DFT energy (no corrections)   -91.5 eV for the cell shown

***

Record 4
Computed, not measured: a PBEsol-optimized structure of HPtI2 at the SCAN level of DFT.

a b c (Å): 4.8306 4.8306 4.8306
angles (deg): 60.00 60.00 60.00
Fractional positions:
1 H 0.0000 0.0000 0.0000
2 Pt 0.5000 0.5000 0.5000
3 I 0.2500 0.2500 0.2500
4 I 0.7500 0.7500 0.7500

Calculated values
Total DFT energy (no corrections)   -142.6 eV for the cell shown